No. 1
Tb7Cu2Ni2: optimized geometry, PBE.

Values from the calculation:
SG   Cmmm, No. 65
Size of the total moment   0.00 μB/atom
Uncorrected energy   -52.82 eV/f.u.

Lattice parameters (Å, degrees): 6.6106 6.9038 6.6106 90.00 112.01 90.00
Closest atoms and distances in Å follow each position.
Sites, in units of the cell vectors:
Tb: 0.9998 0.2595 0.5003  2 Ni 2.63
Tb: 0.5003 0.7405 0.9998  2 Ni 2.63
Tb: 0.0002 0.7405 0.4997  2 Ni 2.63
Tb: 0.4997 0.2595 0.0002  2 Ni 2.63
Tb: 0.0000 0.0000 0.0000  2 Ni 3.28, 4 Cu 3.67
Tb: 0.5002 0.7466 0.4998  2 Ni 2.81-2.82, 2 Cu 2.98
Tb: 0.4998 0.2534 0.5002  2 Ni 2.81-2.82, 2 Cu 2.98
Cu: 0.8315 0.5000 0.8315  1 Cu 2.49
Cu: 0.1685 0.5000 0.1685  1 Cu 2.49
Ni: 0.7010 0.0000 0.2990  6 Tb 2.63-2.82
Ni: 0.2990 0.0000 0.7010  6 Tb 2.63-2.82

No. 2
TbCuNi2: optimized geometry, PBE.

Values from the calculation:
SG   P4/mmm, No. 123
Size of the total moment   0.00 μB/atom
Uncorrected energy   -21.02 eV/f.u.

Lattice parameters (Å, degrees): 3.7134 4.0124 4.0124 90.00 90.00 90.00
Closest atoms and distances in Å follow each position.
Sites, in units of the cell vectors:
Ni: 0.0000 0.0000 0.5000  4 Tb 2.73, 4 Cu 2.73, 4 Ni 2.84
Ni: 0.0000 0.5000 0.0000  4 Tb 2.73, 4 Cu 2.73, 4 Ni 2.84
Tb: 0.5000 0.5000 0.5000  8 Ni 2.73, 4 Cu 2.84
Cu: 0.5000 0.0000 0.0000  8 Ni 2.73, 4 Tb 2.84

No. 3
Tb2Cu3Ni4: optimized geometry, PBE.

Values from the calculation:
SG   Fmmm, No. 69
Size of the total moment   0.00 μB/atom
Uncorrected energy   -47.07 eV/f.u.

Lattice parameters (Å, degrees): 5.0197 5.0197 6.7025 100.03 100.03 122.34
Closest atoms and distances in Å follow each position.
Sites, in units of the cell vectors:
Tb: 0.6454 0.6454 0.2908  8 Ni 2.79-2.88, 6 Cu 3.03-3.10
Tb: 0.3546 0.3546 0.7092  8 Ni 2.79-2.88, 6 Cu 3.03-3.10
Cu: 0.5000 0.0000 0.0000  4 Cu 2.42-2.51, 4 Ni 2.52
Cu: 0.0000 0.0000 0.0000  4 Cu 2.51, 4 Ni 2.61
Cu: 0.0000 0.5000 0.0000  4 Cu 2.42-2.51, 4 Ni 2.52
Ni: 0.0069 0.6562 0.6631  1 Ni 2.43, 3 Cu 2.52-2.61
Ni: 0.6562 0.0069 0.6631  1 Ni 2.43, 3 Cu 2.52-2.61
Ni: 0.9931 0.3438 0.3369  1 Ni 2.43, 3 Cu 2.52-2.61
Ni: 0.3438 0.9931 0.3369  1 Ni 2.43, 3 Cu 2.52-2.61

No. 4
Tb2Cu5Ni5: optimized geometry, PBE.

Values from the calculation:
Relative energy among the computed polymorphs   0.0 meV per atom
SG   Pmmm, No. 47
Size of the total moment   0.00 μB/atom
Uncorrected energy   -62.05 eV/f.u.

Lattice parameters (Å, degrees): 4.0516 4.9311 8.5365 90.00 90.00 90.00
Closest atoms and distances in Å follow each position.
Sites, in units of the cell vectors:
Tb: 0.0000 0.5000 0.0000  6 Ni 2.83-2.86
Tb: 0.0000 0.0000 0.5000  6 Ni 2.84-2.88
Cu: 0.5000 0.5000 0.5000  4 Ni 2.47, 4 Cu 2.48
Cu: 0.5000 0.7504 0.2485  5 Ni 2.45-2.48, 3 Cu 2.46-2.48
Cu: 0.5000 0.2496 0.7515  5 Ni 2.45-2.48, 3 Cu 2.46-2.48
Cu: 0.5000 0.2496 0.2485  5 Ni 2.45-2.48, 3 Cu 2.46-2.48
Cu: 0.5000 0.7504 0.7515  5 Ni 2.45-2.48, 3 Cu 2.46-2.48
Ni: 0.0000 0.5000 0.3348  6 Cu 2.47-2.48
Ni: 0.0000 0.0000 0.8379  2 Ni 2.45, 4 Cu 2.48
Ni: 0.0000 0.0000 0.1621  2 Ni 2.45, 4 Cu 2.48
Ni: 0.0000 0.5000 0.6652  6 Cu 2.47-2.48
Ni: 0.5000 0.0000 0.0000  4 Cu 2.45, 4 Ni 2.45

No. 5
TbCuNi2: optimized geometry, PBE.

Values from the calculation:
SG   R-3m, No. 166
Size of the total moment   0.00 μB/atom
Uncorrected energy   -21.42 eV/f.u.

Lattice parameters (Å, degrees): 4.0985 4.0985 5.0633 66.13 66.13 60.00
Closest atoms and distances in Å follow each position.
Sites, in units of the cell vectors:
Ni: 0.7999 0.7999 0.6003  3 Cu 2.41, 3 Ni 2.53, 1 Tb 2.69
Ni: 0.2001 0.2001 0.3997  3 Cu 2.41, 3 Ni 2.53, 1 Tb 2.69
Tb: 0.0000 0.0000 0.0000  8 Ni 2.69-2.97
Cu: 0.5000 0.5000 0.5000  6 Ni 2.41

No. 6
Tb3Cu7Ni2: optimized geometry, PBE.

Values from the calculation:
SG   R-3m, No. 166
Size of the total moment   0.00 μB/atom
Uncorrected energy   -56.78 eV/f.u.

Lattice parameters (Å, degrees): 5.0769 5.0769 8.9327 73.49 73.49 60.00
Closest atoms and distances in Å follow each position.
Sites, in units of the cell vectors:
Tb: 0.0000 0.0000 0.0000  6 Ni 2.93, 12 Cu 3.25
Tb: 0.8603 0.8603 0.4192  12 Cu 2.95-3.22, 3 Tb 3.23
Tb: 0.1397 0.1397 0.5808  12 Cu 2.95-3.22, 3 Tb 3.23
Cu: 0.5000 0.5000 0.5000  6 Cu 2.63
Cu: 0.9199 0.4196 0.2410  2 Ni 2.49-2.52, 5 Cu 2.54-2.63
Cu: 0.4196 0.9199 0.2410  2 Ni 2.49-2.52, 5 Cu 2.54-2.63
Cu: 0.4196 0.4196 0.2410  2 Ni 2.49-2.52, 5 Cu 2.54-2.63
Cu: 0.0801 0.5804 0.7590  2 Ni 2.49-2.52, 5 Cu 2.54-2.63
Cu: 0.5804 0.5804 0.7590  2 Ni 2.49-2.52, 5 Cu 2.54-2.63
Cu: 0.5804 0.0801 0.7590  2 Ni 2.49-2.52, 5 Cu 2.54-2.63
Ni: 0.6673 0.6673 0.9982  6 Cu 2.49-2.52
Ni: 0.3327 0.3327 0.0018  6 Cu 2.49-2.52

No. 7
TbCuNi4: optimized geometry, PBE.

Values from the calculation:
Relative energy among the computed polymorphs   39.6 meV per atom
SG   F-43m, No. 216
Size of the total moment   0.18 μB/atom
Uncorrected energy   -33.47 eV/f.u.

Lattice parameters (Å, degrees): 4.8684 4.8684 4.8684 60.00 60.00 60.00
Closest atoms and distances in Å follow each position.
Sites, in units of the cell vectors:
Ni: 0.6260 0.6260 0.1220  6 Ni 2.41-2.45
Ni: 0.6260 0.1220 0.6260  6 Ni 2.41-2.45
Ni: 0.6260 0.6260 0.6260  6 Ni 2.41-2.45
Ni: 0.1220 0.6260 0.6260  6 Ni 2.41-2.45
Tb: 0.2500 0.2500 0.2500  12 Ni 2.86, 4 Cu 2.98
Cu: 0.0000 0.0000 0.0000  12 Ni 2.85, 4 Tb 2.98

No. 8
Tb6Cu5Ni: optimized geometry, PBE.

Values from the calculation:
SG   P2/m, No. 10
Size of the total moment   0.00 μB/atom
Uncorrected energy   -57.20 eV/f.u.

Lattice parameters (Å, degrees): 4.9066 6.9316 7.7632 90.00 108.41 90.00
Closest atoms and distances in Å follow each position.
Sites, in units of the cell vectors:
Ni: 0.0000 0.0000 0.0000  8 Tb 2.97-2.98
Tb: 0.8360 0.7521 0.6718  1 Ni 2.97, 7 Cu 2.98-3.04
Tb: 0.8360 0.2479 0.6718  1 Ni 2.97, 7 Cu 2.98-3.04
Tb: 0.5000 0.2453 0.0000  2 Ni 2.98, 6 Cu 3.02-3.03
Tb: 0.5000 0.7547 0.0000  2 Ni 2.98, 6 Cu 3.02-3.03
Tb: 0.1640 0.7521 0.3282  1 Ni 2.97, 7 Cu 2.98-3.04
Tb: 0.1640 0.2479 0.3282  1 Ni 2.97, 7 Cu 2.98-3.04
Cu: 0.6660 0.5000 0.3349  8 Tb 3.01-3.04
Cu: 0.3299 0.0000 0.6605  8 Tb 2.99-3.02
Cu: 0.0000 0.5000 0.0000  8 Tb 2.98-3.02
Cu: 0.6701 0.0000 0.3395  8 Tb 2.99-3.02
Cu: 0.3340 0.5000 0.6651  8 Tb 3.01-3.04

No. 9
Tb2CuNi: optimized geometry, PBE.

Values from the calculation:
SG   P2_1/m, No. 11
Size of the total moment   0.00 μB/atom
Uncorrected energy   -20.55 eV/f.u.

Lattice parameters (Å, degrees): 4.4207 5.4508 7.4148 109.85 90.00 90.00
Closest atoms and distances in Å follow each position.
Sites, in units of the cell vectors:
Tb: 0.7500 0.2265 0.4287  4 Cu 2.83-2.98, 3 Ni 2.83-2.95
Tb: 0.2500 0.7735 0.5713  4 Cu 2.83-2.98, 3 Ni 2.83-2.95
Tb: 0.2500 0.7820 0.0673  3 Cu 2.86-2.98, 4 Ni 2.87-2.96
Tb: 0.7500 0.2180 0.9327  3 Cu 2.86-2.98, 4 Ni 2.87-2.96
Cu: 0.7500 0.6469 0.2854  2 Ni 2.66, 7 Tb 2.83-2.98
Cu: 0.2500 0.3531 0.7146  2 Ni 2.66, 7 Tb 2.83-2.98
Ni: 0.2500 0.3587 0.2150  2 Cu 2.66, 7 Tb 2.83-2.96
Ni: 0.7500 0.6413 0.7850  2 Cu 2.66, 7 Tb 2.83-2.96

No. 10
Tb2Cu12Ni5: optimized geometry, PBE.

Values from the calculation:
SG   R-3m, No. 166
Size of the total moment   0.00 μB/atom
Uncorrected energy   -90.27 eV/f.u.

Lattice parameters (Å, degrees): 6.3898 6.3898 6.3898 82.92 82.92 82.92
Closest atoms and distances in Å follow each position.
Sites, in units of the cell vectors:
Tb: 0.6700 0.6700 0.6700  4 Ni 2.85-3.17, 12 Cu 3.01-3.12
Tb: 0.3300 0.3300 0.3300  4 Ni 2.85-3.17, 12 Cu 3.01-3.12
Cu: 0.2925 0.7075 0.0000  2 Ni 2.42, 6 Cu 2.48-2.58
Cu: 0.7075 0.0000 0.2925  2 Ni 2.42, 6 Cu 2.48-2.58
Cu: 0.0000 0.2925 0.7075  2 Ni 2.42, 6 Cu 2.48-2.58
Cu: 0.7075 0.2925 0.0000  2 Ni 2.42, 6 Cu 2.48-2.58
Cu: 0.2925 0.0000 0.7075  2 Ni 2.42, 6 Cu 2.48-2.58
Cu: 0.0000 0.7075 0.2925  2 Ni 2.42, 6 Cu 2.48-2.58
Cu: 0.3462 0.3462 0.8482  3 Ni 2.44-2.63, 6 Cu 2.48-2.58
Cu: 0.3462 0.8482 0.3462  3 Ni 2.44-2.63, 6 Cu 2.48-2.58
Cu: 0.8482 0.3462 0.3462  3 Ni 2.44-2.63, 6 Cu 2.48-2.58
Cu: 0.6538 0.1518 0.6538  3 Ni 2.44-2.63, 6 Cu 2.48-2.58
Cu: 0.6538 0.6538 0.1518  3 Ni 2.44-2.63, 6 Cu 2.48-2.58
Cu: 0.1518 0.6538 0.6538  3 Ni 2.44-2.63, 6 Cu 2.48-2.58
Ni: 0.0000 0.0000 0.5000  8 Cu 2.42-2.44, 2 Ni 2.58
Ni: 0.0000 0.5000 0.0000  8 Cu 2.42-2.44, 2 Ni 2.58
Ni: 0.5000 0.0000 0.0000  8 Cu 2.42-2.44, 2 Ni 2.58
Ni: 0.9009 0.9009 0.9009  4 Ni 2.45-2.58, 3 Cu 2.63
Ni: 0.0991 0.0991 0.0991  4 Ni 2.45-2.58, 3 Cu 2.63

No. 11
TbTlCuNi: optimized geometry, PBE.

Values from the calculation:
SG   F-43m, No. 216
Size of the total moment   0.00 μB/atom
Uncorrected energy   -17.52 eV/f.u.

Lattice parameters (Å, degrees): 4.7016 4.7016 4.7016 60.00 60.00 60.00
Closest atoms and distances in Å follow each position.
Sites, in units of the cell vectors:
Ni: 0.7500 0.7500 0.7500  4 Tb 2.88, 4 Tl 2.88
Tl: 0.5000 0.5000 0.5000  4 Ni 2.88, 4 Cu 2.88
Tb: 0.0000 0.0000 0.0000  4 Cu 2.88, 4 Ni 2.88
Cu: 0.2500 0.2500 0.2500  4 Tl 2.88, 4 Tb 2.88